Entry 1:
7
Lattice="6.788 0.000 0.000 -3.394 5.878 0.000 0.000 0.000 4.482" Properties=species:S:1:pos:R:3 comment="Ca3Cu4 PBE-GGA relaxed" polymorph_energy_ev_per_atom=0.4967 total_energy_ev_per_atom=-2.8373 crystal_system=hexagonal pbc="T T T"
Ca -1.697 2.939 0.000
Ca 3.394 0.000 0.000
Ca 1.697 2.939 0.000
Cu 0.000 0.000 1.116
Cu 0.000 0.000 3.366
Cu 0.000 3.919 2.241
Cu 3.394 1.959 2.241

---

Entry 2:
14
Lattice="4.094 2.364 5.486 -4.094 2.364 5.486 0.000 -4.728 5.486" Properties=species:S:1:pos:R:3 comment="YSc3As3 PBE-GGA relaxed" polymorph_energy_ev_per_atom=0.0784 total_energy_ev_per_atom=-6.7572 crystal_system=trigonal pbc="T T T"
Y 0.000 0.000 2.738
Y 0.000 0.000 13.719
Sc -1.074 -1.910 6.787
Sc -2.191 -0.025 9.670
Sc -1.117 1.885 6.787
Sc 1.117 -1.885 9.670
Sc 2.191 0.025 6.787
Sc 1.074 1.910 9.670
As -3.040 -0.030 6.887
As -1.494 -2.648 9.570
As 1.546 -2.617 6.887
As -1.546 2.617 9.570
As 1.494 2.648 6.887
As 3.040 0.030 9.570

---

Entry 3:
24
Lattice="6.324 0.000 0.000 0.000 4.457 0.000 0.000 0.000 9.511" Properties=species:S:1:pos:R:3 comment="Sc2NbN3 PBE-GGA relaxed" e_form_raw_ev_per_atom=-1.65 total_energy_ev_per_atom=-9.6063 crystal_system=orthorhombic pbc="T T T"
Sc 0.773 1.114 2.365
Sc 0.798 1.114 8.724
Sc 2.364 3.343 3.969
Sc 2.389 3.343 7.120
Sc 3.935 1.114 2.391
Sc 3.960 1.114 5.543
Sc 5.526 3.343 0.787
Sc 5.551 3.343 7.146
Nb 0.792 1.114 5.590
Nb 2.370 3.343 0.834
Nb 3.954 1.114 8.677
Nb 5.532 3.343 3.921
N 0.785 3.343 5.554
N 0.797 3.343 2.375
N 0.814 3.343 8.725
N 2.348 1.114 3.969
N 2.365 1.114 7.131
N 2.377 1.114 0.798
N 3.947 3.343 8.713
N 3.959 3.343 2.380
N 3.976 3.343 5.542
N 5.510 1.114 0.786
N 5.527 1.114 7.136
N 5.539 1.114 3.957

---

Entry 4:
5
Lattice="5.197 0.000 0.000 0.000 5.197 0.000 0.000 0.000 5.277" Properties=species:S:1:pos:R:3 comment="SrMoSeBr2 PBE-GGA relaxed" e_form_raw_ev_per_atom=-0.63 polymorph_energy_ev_per_atom=0.0000 total_energy_ev_per_atom=-4.4975 crystal_system=tetragonal pbc="T T T"
Sr 0.000 0.000 0.000
Mo 2.599 2.599 2.639
Se 2.599 2.599 0.000
Br 0.000 2.599 2.639
Br 2.599 0.000 2.639

---

Entry 5:
5
Lattice="-2.111 2.111 5.964 2.111 -2.111 5.964 2.111 2.111 -5.964" Properties=species:S:1:pos:R:3 comment="Tl2ZnFe2 PBE-GGA relaxed" polymorph_energy_ev_per_atom=0.3094 total_energy_ev_per_atom=-3.7797 crystal_system=tetragonal pbc="T T T"
Tl 2.111 0.000 2.982
Tl 0.000 2.111 2.982
Zn 0.000 0.000 0.000
Fe 0.000 0.000 4.892
Fe 0.000 0.000 7.036

---

Entry 6:
4
Lattice="3.004 0.000 0.000 0.000 3.004 0.000 0.000 0.000 5.758" Properties=species:S:1:pos:R:3 comment="LiSiTc2 PBE-GGA relaxed" e_form_raw_ev_per_atom=-0.15 total_energy_ev_per_atom=-7.1672 crystal_system=tetragonal pbc="T T T"
Li 0.000 0.000 0.000
Si 1.502 1.502 1.267
Tc 0.000 0.000 2.793
Tc 1.502 1.502 4.321

---

Number 1: density of states at the Fermi level 0.667 states/eV/atom, size of the total moment 0.00 μB/f.u.. Number 2: density of states at the Fermi level 0.596 states/eV/atom, size of the total moment 0.00 μB/f.u.. Number 3: density of states at the Fermi level 0.186 states/eV/atom, size of the total moment 0.00 μB/f.u.. Number 4: density of states at the Fermi level 0.341 states/eV/atom, size of the total moment 3.09 μB/f.u.. Number 5: density of states at the Fermi level 0.766 states/eV/atom, size of the total moment 5.11 μB/f.u.. Number 6: density of states at the Fermi level 0.526 states/eV/atom, size of the total moment 0.00 μB/f.u..